Sr3LaTc | GGA-PBEsol | relaxed

## Properties
Crystal system: cubic
Energy of formation from the pure elements: 0.74 eV per atom
Space-group type: Pm-3m (221)

Structure (POSCAR):
```
Sr3LaTc
1.0
5.736 0.000 0.000
0.000 5.736 0.000
0.000 0.000 5.736
Sr La Tc
3 1 1
Direct
0.000 0.000 0.500 Sr
0.000 0.500 0.000 Sr
0.500 0.000 0.000 Sr
0.500 0.500 0.500 La
0.000 0.000 0.000 Tc
```